The following is a SCAN calculation of a crystal of Sb2MoPb relaxed with PBEsol, from Alexandria via LeMat-Bulk.

abc: 4.774 4.774 6.562
angles: 99.31 99.31 41.02
Fractional positions:
Sb1 0.228 0.228 0.188
Sb2 0.772 0.772 0.812
Mo1 0.500 0.500 0.000
Pb1 0.000 0.000 0.500

Formation energy (no corrections)   0.40 eV per atom
Theoretical density   9.389 g cm⁻³
V   96.68 Å³/f.u.
Crystal system   monoclinic
Total moment   1.191 Bohr magnetons per cell
VASP energy   -45.90 eV/atom